# 1
Here is a relaxed La2CuSi crystal from Alexandria. Energies are from GGA-PBE.

Cell lengths 6.0424, 6.0424, 6.0424 Å; angles 142.26, 134.77, 60.32 degrees
With the nearest neighbours (Å) after each atom.
Element x y z (fractional)
La: 0.0000 0.0000 0.0000  4 Si 3.14, 2 La 3.21, 2 Cu 3.25
La: 0.7122 0.2122 0.5000  4 Cu 3.12, 2 Si 3.20, 2 La 3.21
Cu: 0.2820 0.7820 0.5000  2 Si 2.45
Si: 0.4233 0.4233 0.0000  2 Cu 2.45

Calculated values
Space group   Imm2
ΔE_f (raw)   -0.40 eV/atom

=====

# 2
Here is a relaxed TbNdGa2Rh2 crystal from Alexandria. Energies are from GGA-PBE.

Cell lengths 4.4038, 4.4038, 7.3541 Å; angles 90.00, 90.00, 120.00 degrees
With the nearest neighbours (Å) after each atom.
Element x y z (fractional)
Tb: 0.0000 0.0000 0.0000  6 Rh 3.04, 6 Ga 3.08
Nd: 0.0000 0.0000 0.5000  6 Ga 3.20, 6 Rh 3.25
Ga: 0.3333 0.6667 0.7642  3 Rh 2.54
Ga: 0.6667 0.3333 0.2358  3 Rh 2.54
Rh: 0.3333 0.6667 0.2255  3 Ga 2.54
Rh: 0.6667 0.3333 0.7745  3 Ga 2.54

Calculated values
Space group   P-3m1
Energy of formation from the pure elements   -795 meV/atom

=====

# 3
Here is a relaxed PrScMo2N6 crystal from Alexandria. Energies are from GGA-PBE.

Cell lengths 7.5002, 7.5002, 6.4239 Å; angles 109.39, 109.39, 80.21 degrees
With the nearest neighbours (Å) after each atom.
Element x y z (fractional)
Pr: 0.0996 0.9004 0.7500  6 N 2.39-2.60
Pr: 0.9004 0.0996 0.2500  6 N 2.39-2.60
Sc: 0.2771 0.7229 0.2500  6 N 2.22-2.37
Sc: 0.7229 0.2771 0.7500  6 N 2.22-2.37
Mo: 0.2111 0.3772 0.8241  4 N 1.78-1.97
Mo: 0.3772 0.2111 0.3241  4 N 1.78-1.97
Mo: 0.6228 0.7889 0.6759  4 N 1.78-1.97
Mo: 0.7889 0.6228 0.1759  4 N 1.78-1.97
N: 0.0012 0.2303 0.6811  1 Mo 1.87
N: 0.1378 0.6225 0.8676  1 Mo 1.78
N: 0.2303 0.0012 0.1811  1 Mo 1.87
N: 0.3169 0.3881 0.1383  2 Mo 1.89-1.97
N: 0.3775 0.8622 0.6324  1 Mo 1.78
N: 0.3881 0.3169 0.6383  2 Mo 1.89-1.97
N: 0.6119 0.6831 0.3617  2 Mo 1.89-1.97
N: 0.6225 0.1378 0.3676  1 Mo 1.78
N: 0.6831 0.6119 0.8617  2 Mo 1.89-1.97
N: 0.7697 0.9988 0.8189  1 Mo 1.87
N: 0.8622 0.3775 0.1324  1 Mo 1.78
N: 0.9988 0.7697 0.3189  1 Mo 1.87

Calculated values
Space group   C2/c
ΔE_f (raw)   -0.79 eV/atom

=====

# 4
Here is a relaxed Pm12Pr6Mg crystal from Alexandria. Energies are from GGA-PBE.

Cell lengths 8.8676, 8.8676, 8.8676 Å; angles 97.47, 97.47, 97.47 degrees
With the nearest neighbours (Å) after each atom.
Element x y z (fractional)
Pm: 0.0008 0.7384 0.2617  4 Pr 3.42-3.58, 1 Mg 3.49, 6 Pm 3.49-3.73
Pm: 0.1704 0.5826 0.5831  5 Pm 3.25-3.57
Pm: 0.2617 0.0008 0.7384  4 Pr 3.42-3.58, 1 Mg 3.49, 6 Pm 3.49-3.73
Pm: 0.2616 0.7383 0.9992  4 Pr 3.42-3.58, 1 Mg 3.49, 6 Pm 3.49-3.73
Pm: 0.4174 0.4169 0.8296  5 Pm 3.25-3.57
Pm: 0.4169 0.8296 0.4174  5 Pm 3.25-3.57
Pm: 0.5831 0.1704 0.5826  5 Pm 3.25-3.57
Pm: 0.5826 0.5831 0.1704  5 Pm 3.25-3.57
Pm: 0.7384 0.2617 0.0008  4 Pr 3.42-3.58, 1 Mg 3.49, 6 Pm 3.49-3.73
Pm: 0.7383 0.9992 0.2616  4 Pr 3.42-3.58, 1 Mg 3.49, 6 Pm 3.49-3.73
Pm: 0.8296 0.4174 0.4169  5 Pm 3.25-3.57
Pm: 0.9992 0.2616 0.7383  4 Pr 3.42-3.58, 1 Mg 3.49, 6 Pm 3.49-3.73
Pr: 0.1345 0.1358 0.4073  4 Pm 3.42-3.58, 2 Pr 3.63, 1 Mg 3.65
Pr: 0.1358 0.4072 0.1345  4 Pm 3.42-3.58, 2 Pr 3.63, 1 Mg 3.65
Pr: 0.4072 0.1345 0.1358  4 Pm 3.42-3.58, 2 Pr 3.63, 1 Mg 3.65
Pr: 0.5927 0.8655 0.8642  4 Pm 3.42-3.58, 2 Pr 3.63, 1 Mg 3.65
Pr: 0.8642 0.5927 0.8655  4 Pm 3.42-3.58, 2 Pr 3.63, 1 Mg 3.65
Pr: 0.8655 0.8642 0.5928  4 Pm 3.42-3.58, 2 Pr 3.63, 1 Mg 3.65
Mg: 0.0000 0.0000 0.0000  6 Pm 3.49, 6 Pr 3.65

Calculated values
Space group   R-3
Energy of formation from the pure elements   122 meV/atom

=====

# 5
Here is a relaxed AlRu2Rh crystal from Alexandria. Energies are from GGA-PBE.

Cell lengths 5.0649, 5.0649, 5.0649 Å; angles 146.29, 128.75, 62.75 degrees
With the nearest neighbours (Å) after each atom.
Element x y z (fractional)
Al: 0.0000 0.0000 0.0000  2 Rh 2.47, 6 Ru 2.51-2.64
Ru: 0.5033 0.5033 0.0000  4 Al 2.64, 4 Ru 2.70-2.94, 4 Rh 2.79-2.94
Ru: 0.7646 0.2646 0.5000  2 Al 2.51, 4 Rh 2.65, 2 Ru 2.70
Rh: 0.2293 0.7293 0.5000  2 Al 2.47, 4 Ru 2.65

Calculated values
Space group   Imm2
Energy of formation from the pure elements   -230 meV/atom

=====

# 6
Here is a relaxed SiAsNF2 crystal from Alexandria. Energies are from GGA-PBE.

Cell lengths 4.2562, 4.2562, 3.2813 Å; angles 90.00, 90.00, 90.00 degrees
With the nearest neighbours (Å) after each atom.
Element x y z (fractional)
Si: 0.0000 0.0000 0.0000  2 N 1.64
As: 0.5000 0.5000 0.5000  8 F 2.69
N: 0.0000 0.0000 0.5000  2 Si 1.64
F: 0.0000 0.5000 0.0000  2 Si 2.13
F: 0.5000 0.0000 0.0000  2 Si 2.13

Calculated values
Offset from the most stable computed form   0 kJ/mol of formula units
Space group   P4/mmm
ΔE_f (raw)   -0.55 eV/atom